1.
Here is a PBEsol-optimized structure of NaGaH2Se from Alexandria via LeMat-Bulk. Energies are from meta-GGA SCAN.

a = 3.702 Å, b = 3.702 Å, c = 6.352 Å
α = 90.00°, β = 90.00°, γ = 90.00°
Fractional coordinates of all 5 atoms:
Na (0.000, 0.000, 0.000)
Ga (0.000, 0.000, 0.500)
H (0.000, 0.500, 0.500)
H (0.500, 0.000, 0.500)
Se (0.500, 0.500, 0.000)

Total magnetic moment in Bohr magnetons per cell: 0.001
Total energy in eV/atom: -9.341

---

2.
Here is a PBEsol-optimized structure of CsLaRh2 from Alexandria via LeMat-Bulk. Energies are from meta-GGA SCAN.

a = 7.171 Å, b = 7.171 Å, c = 7.171 Å
α = 90.00°, β = 90.00°, γ = 90.00°
Fractional coordinates of all 16 atoms:
Cs (0.000, 0.000, 0.000)
Cs (0.000, 0.500, 0.500)
Cs (0.500, 0.000, 0.500)
Cs (0.500, 0.500, 0.000)
La (0.000, 0.000, 0.500)
La (0.000, 0.500, 0.000)
La (0.500, 0.000, 0.000)
La (0.500, 0.500, 0.500)
Rh (0.250, 0.250, 0.250)
Rh (0.250, 0.250, 0.750)
Rh (0.250, 0.750, 0.250)
Rh (0.250, 0.750, 0.750)
Rh (0.750, 0.250, 0.250)
Rh (0.750, 0.250, 0.750)
Rh (0.750, 0.750, 0.250)
Rh (0.750, 0.750, 0.750)

Total magnetic moment in Bohr magnetons per cell: 0.000
ΔE_f in eV/atom: 0.44

---

3.
Here is a PBEsol-optimized structure of TlCdPb2 from Alexandria via LeMat-Bulk. Energies are from meta-GGA SCAN.

a = 3.766 Å, b = 5.501 Å, c = 10.596 Å
α = 90.00°, β = 90.00°, γ = 90.00°
Fractional coordinates of all 8 atoms:
Tl (0.000, 0.000, 0.000)
Tl (0.500, 0.500, 0.000)
Cd (0.000, 0.500, 0.232)
Cd (0.500, 0.000, 0.232)
Pb (0.000, 0.000, 0.470)
Pb (0.000, 0.500, 0.735)
Pb (0.500, 0.000, 0.735)
Pb (0.500, 0.500, 0.470)

Energy above the most stable polymorph in this dataset in meV per atom: 35
Total magnetic moment in Bohr magnetons per cell: 0.000
ΔE_f in eV/atom: 0.06